Record 1
Density functional theory data (GGA-PBE) for crystalline Pa5Mo at its relaxed geometry.

Summary:
- Formation energy: 0.16 eV/atom
- Magnetic moment: 0.00 μB/cell

Lattice parameters (Å, degrees): 4.2269 4.1972 8.0605 105.09 90.00 90.00
Element x y z (fractional)
1 Pa 0.0000 0.3339 0.6679
2 Pa 0.5000 0.5000 0.0000
3 Pa 0.5000 0.1648 0.3297
4 Mo 0.0000 0.0000 0.0000
5 Pa 0.5000 0.8352 0.6703
6 Pa 0.0000 0.6661 0.3321

Record 2
Density functional theory data (GGA-PBE) for crystalline PaMo at its relaxed geometry.

Summary:
- Formation energy: 0.19 eV/atom
- Magnetic moment: 0.00 μB/cell
- Excess energy over the best structure of this formula in the dataset: 28 kJ/mol of formula units

Lattice parameters (Å, degrees): 3.4727 3.4727 3.4727 90.00 90.00 90.00
Element x y z (fractional)
1 Pa 0.5000 0.5000 0.5000
2 Mo 0.0000 0.0000 0.0000

Record 3
Density functional theory data (GGA-PBE) for crystalline PaMo at its relaxed geometry.

Summary:
- Formation energy: 0.05 eV/atom
- Magnetic moment: 0.00 μB/cell
- Excess energy over the best structure of this formula in the dataset: 0 kJ/mol of formula units

Lattice parameters (Å, degrees): 3.3621 3.4198 7.6942 63.58 90.00 90.00
Element x y z (fractional)
1 Pa 0.7500 0.1146 0.1356
2 Pa 0.2500 0.8854 0.8644
3 Mo 0.2500 0.3633 0.3866
4 Mo 0.7500 0.6367 0.6134